KLiAs | PBE-GGA | relaxed

Cell: 5.182 5.182 5.182 Å, 60.00 60.00 60.00°
Fractional positions:
K 0.000 0.000 0.000
Li 0.250 0.250 0.250
As 0.750 0.750 0.750

Total energy = -2.2996 eV/atom
Space group = No. 216
Crystal system = cubic

***

KLiAs2 | PBE-GGA | relaxed

Cell: 5.396 5.396 5.396 Å, 128.64 128.64 75.59°
Fractional positions:
K 0.000 0.000 0.000
Li 0.250 0.750 0.500
As 0.500 0.500 0.000
As 0.750 0.250 0.500

Total energy = -3.0780 eV/atom
Space group = No. 119
Crystal system = tetragonal

***

KLiAs2 | PBE-GGA | relaxed

Cell: 3.790 3.790 6.820 Å, 90.00 90.00 90.00°
Fractional positions:
K 0.000 0.000 0.000
Li 0.000 0.000 0.500
As 0.500 0.500 0.332
As 0.500 0.500 0.668

Total energy = -3.4882 eV/atom
Space group = No. 123
Crystal system = tetragonal

***

KLiAs2 | PBE-GGA | relaxed

Cell: 4.815 4.815 5.958 Å, 103.84 103.84 56.34°
Fractional positions:
K 0.000 0.000 0.000
Li 0.232 0.232 0.551
As 0.572 0.572 0.580
As 0.778 0.778 0.380

Total energy = -3.3863 eV/atom
Space group = No. 8
Crystal system = monoclinic

***

KLiAs2 | PBE-GGA | relaxed

Cell: 5.057 5.057 5.057 Å, 60.00 60.00 60.00°
Fractional positions:
K 0.000 0.000 0.000
Li 0.500 0.500 0.500
As 0.250 0.250 0.250
As 0.750 0.750 0.750

Total energy = -3.0420 eV/atom
Space group = No. 225
Crystal system = cubic

***

KLiAs2 | PBE-GGA | relaxed

Cell: 3.677 3.677 8.094 Å, 90.00 90.00 90.00°
Fractional positions:
K 0.000 0.000 0.000
Li 0.500 0.500 0.395
As 0.000 0.000 0.588
As 0.500 0.500 0.702

Total energy = -3.2265 eV/atom
Space group = No. 99
Crystal system = tetragonal

***

KLiAs3 | PBE-GGA | relaxed

Cell: 4.826 4.826 4.826 Å, 90.00 90.00 90.00°
Fractional positions:
K 0.000 0.000 0.000
Li 0.500 0.500 0.500
As 0.000 0.500 0.500
As 0.500 0.000 0.500
As 0.500 0.500 0.000

Total energy = -3.2432 eV/atom
Space group = No. 221
Crystal system = cubic

***

K2LiAs | PBE-GGA | relaxed

Cell: 4.834 4.834 5.109 Å, 90.00 90.00 90.00°
Fractional positions:
K 0.000 0.500 0.000
K 0.500 0.000 0.000
Li 0.000 0.000 0.500
As 0.500 0.500 0.500

Total energy = -2.2747 eV/atom
Space group = No. 123
Crystal system = tetragonal